Compound: Nd2SiSbPt6
Source: Alexandria via LeMat-Bulk
Functional: GGA-PBE
Structure: relaxed

It has space group Pmmn (No. 59, origin choice 2), with a = 5.586 Å, b = 8.607 Å, c = 8.719 Å, α = 90.00°, β = 90.00° and γ = 90.00°. The distinct sites, in fractional coordinates, are Nd at (0.250, 0.006, 0.237), Si at (0.250, 0.750, 0.743), Sb at (0.250, 0.250, 0.782), Pt at (0.002, 0.250, 0.492), Pt at (0.006, 0.750, 0.966) and Pt at (0.250, 0.000, 0.609).

The calculation puts the formation energy (no corrections) at -0.903 eV/atom.

---

Compound: Nd3Si2SbPt9
Source: Alexandria via LeMat-Bulk
Functional: GGA-PBE
Structure: relaxed

It has space group P-3m1 (No. 164), with a = 6.4650 Å, b = 6.4650 Å, c = 9.1623 Å, α = 90.00°, β = 90.00° and γ = 120.00°. The distinct sites, in fractional coordinates, are Nd at (0.0000, 0.0000, 0.0000), Nd at (0.3333, 0.6667, 0.7246), Si at (0.3333, 0.6667, 0.1746), Sb at (0.0000, 0.0000, 0.5000), Pt at (0.0000, 0.5000, 0.0000) and Pt at (0.1457, 0.2915, 0.2715).

The calculation puts the formation energy (no corrections) at -0.714 eV/atom.

---

Compound: Nd2SmSb3Pt4
Source: Alexandria via LeMat-Bulk
Functional: GGA-PBE
Structure: relaxed

It has space group P-4m2 (No. 115), with a = 4.557 Å, b = 4.557 Å, c = 11.485 Å, α = 90.00°, β = 90.00° and γ = 90.00°. The distinct sites, in fractional coordinates, are Nd at (0.000, 0.500, 0.210), Sm at (0.000, 0.000, 0.500), Sb at (0.000, 0.500, 0.871), Sb at (0.500, 0.500, 0.500), Pt at (0.000, 0.000, 0.000), Pt at (0.000, 0.500, 0.647) and Pt at (0.500, 0.500, 0.000).

The calculation puts the formation energy (no corrections) at -0.919 eV/atom.

---

Compound: Nd2SnSb3Pt4
Source: Alexandria via LeMat-Bulk
Functional: GGA-PBE
Structure: relaxed

It has space group P-4m2 (No. 115), with a = 4.572 Å, b = 4.572 Å, c = 10.933 Å, α = 90.00°, β = 90.00° and γ = 90.00°. The distinct sites, in fractional coordinates, are Nd at (0.000, 0.500, 0.230), Sn at (0.000, 0.000, 0.500), Sb at (0.000, 0.500, 0.870), Sb at (0.500, 0.500, 0.500), Pt at (0.000, 0.000, 0.000), Pt at (0.000, 0.500, 0.633) and Pt at (0.500, 0.500, 0.000).

The calculation puts the formation energy (no corrections) at -0.832 eV/atom.

---

Compound: Nd2Sn3SbPt4
Source: Alexandria via LeMat-Bulk
Functional: GGA-PBE
Structure: relaxed

It has space group P-4m2 (No. 115), with a = 4.660 Å, b = 4.660 Å, c = 10.558 Å, α = 90.00°, β = 90.00° and γ = 90.00°. The distinct sites, in fractional coordinates, are Nd at (0.000, 0.500, 0.235), Sn at (0.000, 0.500, 0.873), Sn at (0.500, 0.500, 0.500), Sb at (0.000, 0.000, 0.500), Pt at (0.000, 0.000, 0.000), Pt at (0.000, 0.500, 0.626) and Pt at (0.500, 0.500, 0.000).

The calculation puts the formation energy (no corrections) at -0.821 eV/atom.

---

Compound: Sr2NdSb3Pt4
Source: Alexandria via LeMat-Bulk
Functional: GGA-PBE
Structure: relaxed

It has space group P-4m2 (No. 115), with a = 4.658 Å, b = 4.658 Å, c = 11.461 Å, α = 90.00°, β = 90.00° and γ = 90.00°. The distinct sites, in fractional coordinates, are Sr at (0.000, 0.500, 0.222), Nd at (0.000, 0.000, 0.500), Sb at (0.000, 0.500, 0.878), Sb at (0.500, 0.500, 0.500), Pt at (0.000, 0.000, 0.000), Pt at (0.000, 0.500, 0.650) and Pt at (0.500, 0.500, 0.000).

The calculation puts the formation energy (no corrections) at -0.866 eV/atom.

---

Compound: TbNd2Sb3Pt4
Source: Alexandria via LeMat-Bulk
Functional: GGA-PBE
Structure: relaxed

It has space group P-4m2 (No. 115), with a = 4.530 Å, b = 4.530 Å, c = 11.470 Å, α = 90.00°, β = 90.00° and γ = 90.00°. The distinct sites, in fractional coordinates, are Tb at (0.000, 0.000, 0.000), Nd at (0.000, 0.500, 0.712), Sb at (0.000, 0.500, 0.370), Sb at (0.500, 0.500, 0.000), Pt at (0.000, 0.000, 0.500), Pt at (0.000, 0.500, 0.144) and Pt at (0.500, 0.500, 0.500).

The calculation puts the formation energy (no corrections) at -0.940 eV/atom.

---

Compound: Nd2TiSb3Pt4
Source: Alexandria via LeMat-Bulk
Functional: GGA-PBE
Structure: relaxed

It has space group P-4m2 (No. 115), with a = 4.452 Å, b = 4.452 Å, c = 11.079 Å, α = 90.00°, β = 90.00° and γ = 90.00°. The distinct sites, in fractional coordinates, are Nd at (0.000, 0.500, 0.235), Ti at (0.000, 0.000, 0.500), Sb at (0.000, 0.500, 0.863), Sb at (0.500, 0.500, 0.500), Pt at (0.000, 0.000, 0.000), Pt at (0.000, 0.500, 0.628) and Pt at (0.500, 0.500, 0.000).

The calculation puts the formation energy (no corrections) at -0.876 eV/atom.

---

Compound: Nd2YSb3Pt4
Source: Alexandria via LeMat-Bulk
Functional: GGA-PBE
Structure: relaxed

It has space group P-4m2 (No. 115), with a = 4.521 Å, b = 4.521 Å, c = 11.491 Å, α = 90.00°, β = 90.00° and γ = 90.00°. The distinct sites, in fractional coordinates, are Nd at (0.000, 0.500, 0.213), Y at (0.000, 0.000, 0.500), Sb at (0.000, 0.500, 0.869), Sb at (0.500, 0.500, 0.500), Pt at (0.000, 0.000, 0.000), Pt at (0.000, 0.500, 0.644) and Pt at (0.500, 0.500, 0.000).

The calculation puts the formation energy (no corrections) at -0.939 eV/atom.

---

Compound: Nd2ZnSbPt6
Source: Alexandria via LeMat-Bulk
Functional: GGA-PBE
Structure: relaxed

It has space group P-1 (No. 2), with a = 5.503 Å, b = 5.839 Å, c = 7.275 Å, α = 76.41°, β = 69.05° and γ = 75.72°. The distinct sites, in fractional coordinates, are Nd at (0.132, 0.253, 0.290), Zn at (0.000, 0.000, 0.000), Sb at (0.500, 0.500, 0.500), Pt at (0.248, 0.745, 0.241), Pt at (0.302, 0.099, 0.651) and Pt at (0.332, 0.621, 0.877).

The calculation puts the formation energy (no corrections) at -0.664 eV/atom.

---

Compound: Nd2ZnSb3Pt4
Source: Alexandria via LeMat-Bulk
Functional: GGA-PBE
Structure: relaxed

It has space group P-4m2 (No. 115), with a = 4.516 Å, b = 4.516 Å, c = 10.720 Å, α = 90.00°, β = 90.00° and γ = 90.00°. The distinct sites, in fractional coordinates, are Nd at (0.000, 0.500, 0.244), Zn at (0.000, 0.000, 0.500), Sb at (0.000, 0.500, 0.865), Sb at (0.500, 0.500, 0.500), Pt at (0.000, 0.000, 0.000), Pt at (0.000, 0.500, 0.624) and Pt at (0.500, 0.500, 0.000).

The calculation puts the formation energy (no corrections) at -0.841 eV/atom.

---

Compound: Nd2ZrSb3Pt4
Source: Alexandria via LeMat-Bulk
Functional: GGA-PBE
Structure: relaxed

It has space group P-4m2 (No. 115), with a = 4.497 Å, b = 4.497 Å, c = 11.242 Å, α = 90.00°, β = 90.00° and γ = 90.00°. The distinct sites, in fractional coordinates, are Nd at (0.000, 0.500, 0.223), Zr at (0.000, 0.000, 0.500), Sb at (0.000, 0.500, 0.866), Sb at (0.500, 0.500, 0.500), Pt at (0.000, 0.000, 0.000), Pt at (0.000, 0.500, 0.635) and Pt at (0.500, 0.500, 0.000).

The calculation puts the formation energy (no corrections) at -0.899 eV/atom.

---

Q: What is the formation energy (no corrections) in the ninth record?
A: -0.939 eV/atom